# 1
First-principles (GGA-PBE) data for a relaxed structure of BeAlPd3, as listed in Alexandria.

The space group is Cmmm (No. 65) and the conventional cell measures 7.804, 11.413 and 3.274 Å, with angles of 90.00, 90.00 and 90.00 degrees. The distinct sites, in fractional coordinates, are Be at (0.250, 0.250, 0.000), Al at (0.000, 0.000, 0.000), Al at (0.000, 0.500, 0.500), Pd at (0.000, 0.335, 0.000) and Pd at (0.198, 0.121, 0.500).

For the energy relative to the lowest polymorph listed for this composition, the calculation gives 0 meV/atom. For the formation enthalpy at 0 K, the calculation gives -0.496 eV/atom. The total magnetization comes out at 0.00 μB/atom.

=====

# 2
First-principles (GGA-PBE) data for a relaxed structure of Sr2AgOsO6, as listed in Alexandria.

The space group is R3 (No. 146, hexagonal axes) and the conventional cell measures 5.9732, 5.9732 and 14.1085 Å, with angles of 90.00, 90.00 and 120.00 degrees. The distinct sites, in fractional coordinates, are Sr at (0.0000, 0.0000, 0.0000), Sr at (0.0000, 0.0000, 0.4990), Ag at (0.0000, 0.0000, 0.2480), Os at (0.0000, 0.0000, 0.7676), O at (0.0413, 0.7664, 0.8529) and O at (0.1014, 0.3704, 0.3641).

The value obtained for the formation energy from raw total energies is -16.61 eV per formula unit. The total magnetization comes out at 0.10 μB/atom.